# LiMgRu2, optimized geometry, DFT PBE
# ΔE_f in eV per formula unit: 1.3
# Electronic total energy in eV for the cell shown: -20.7
# D(E_F) in states/eV per atom: 1.160
# Calculated volume in Å³ per atom: 14.29
data_LiMgRu2
_chemical_formula_sum 'Li1 Mg1 Ru2'
_space_group_name_H-M_alt 'P 4/m m m'
_space_group_IT_number 123
_space_group_name_Hall '-P 4 2'
_cell_length_a 3.109
_cell_length_b 3.109
_cell_length_c 5.915
_cell_angle_alpha 90.00
_cell_angle_beta 90.00
_cell_angle_gamma 90.00
loop_
_atom_site_label
_atom_site_fract_x
_atom_site_fract_y
_atom_site_fract_z
_atom_site_occupancy
Li1 0.000 0.000 0.000 1
Mg1 0.000 0.000 0.500 1
Ru1 0.500 0.500 0.201 1

***

# Li2Mg8Ru, optimized geometry, DFT PBE
# ΔE_f in eV per formula unit: -0.2
# Electronic total energy in eV for the cell shown: -52.2
# D(E_F) in states/eV per atom: 0.457
# Calculated volume in Å³ per atom: 19.89
data_Li2Mg8Ru
_chemical_formula_sum 'Li4 Mg16 Ru2'
_space_group_name_H-M_alt 'C 1 2/m 1'
_space_group_IT_number 12
_cell_length_a 14.724
_cell_length_b 4.544
_cell_length_c 7.180
_cell_angle_alpha 90.00
_cell_angle_beta 114.34
_cell_angle_gamma 90.00
loop_
_space_group_symop_operation_xyz
'x,y,z'
'-x,-y,-z'
'-x,y,-z'
'x,-y,z'
'x+1/2,y+1/2,z'
'-x+1/2,-y+1/2,-z'
'-x+1/2,y+1/2,-z'
'x+1/2,-y+1/2,z'
loop_
_atom_site_label
_atom_site_fract_x
_atom_site_fract_y
_atom_site_fract_z
_atom_site_occupancy
Li1 0.229 0.000 0.147 1
Mg1 0.044 0.000 0.229 1
Mg2 0.094 0.500 0.930 1
Mg3 0.126 0.000 0.665 1
Mg4 0.171 0.500 0.418 1
Ru1 0.000 0.500 0.500 1

***

# LiMgRu2, optimized geometry, DFT PBE
# ΔE_f in eV per formula unit: 0.6
# Electronic total energy in eV for the cell shown: -21.4
# D(E_F) in states/eV per atom: 1.022
# Calculated volume in Å³ per atom: 14.46
data_LiMgRu2
_chemical_formula_sum 'Li1 Mg1 Ru2'
_space_group_name_H-M_alt 'P 1 2/m 1'
_space_group_IT_number 10
_cell_length_a 2.712
_cell_length_b 4.452
_cell_length_c 4.821
_cell_angle_alpha 90.00
_cell_angle_beta 96.52
_cell_angle_gamma 90.00
loop_
_space_group_symop_operation_xyz
'x,y,z'
'-x,-y,-z'
'-x,y,-z'
'x,-y,z'
loop_
_atom_site_label
_atom_site_fract_x
_atom_site_fract_y
_atom_site_fract_z
_atom_site_occupancy
Li1 0.000 0.000 0.000 1
Mg1 0.500 0.000 0.500 1
Ru1 0.214 0.500 0.765 1

***

# LiMgRu2, optimized geometry, DFT PBE
# ΔE_f in eV per formula unit: 1.7
# Electronic total energy in eV for the cell shown: -81.3
# D(E_F) in states/eV per atom: 0.740
# Calculated volume in Å³ per atom: 15.70
data_LiMgRu2
_chemical_formula_sum 'Li4 Mg4 Ru8'
_space_group_name_H-M_alt 'I -4 2 d'
_space_group_IT_number 122
_space_group_name_Hall 'I -4 2bw'
_cell_length_a 3.663
_cell_length_b 3.663
_cell_length_c 18.725
_cell_angle_alpha 90.00
_cell_angle_beta 90.00
_cell_angle_gamma 90.00
loop_
_atom_site_label
_atom_site_fract_x
_atom_site_fract_y
_atom_site_fract_z
_atom_site_occupancy
Li1 0.000 0.000 0.000 1
Mg1 0.000 0.000 0.500 1
Ru1 0.219 0.750 0.125 1

***

# LiMgRu3, optimized geometry, DFT PBE
# ΔE_f in eV per formula unit: 8.6
# Electronic total energy in eV for the cell shown: -22.8
# D(E_F) in states/eV per atom: 1.260
# Calculated volume in Å³ per atom: 19.01
# Energy above the lowest structure with this stoichiometry in meV per atom: 772
data_LiMgRu3
_chemical_formula_sum 'Li1 Mg1 Ru3'
_space_group_name_H-M_alt 'P m -3 m'
_space_group_IT_number 221
_space_group_name_Hall '-P 4 2 3'
_cell_length_a 4.564
_cell_length_b 4.564
_cell_length_c 4.564
_cell_angle_alpha 90.00
_cell_angle_beta 90.00
_cell_angle_gamma 90.00
loop_
_atom_site_label
_atom_site_fract_x
_atom_site_fract_y
_atom_site_fract_z
_atom_site_occupancy
Li1 0.000 0.000 0.000 1
Mg1 0.500 0.500 0.500 1
Ru1 0.000 0.500 0.500 1

***

# LiMg2Ru2, optimized geometry, DFT PBE
# ΔE_f in eV per formula unit: 1.1
# Electronic total energy in eV for the cell shown: -45.2
# D(E_F) in states/eV per atom: 0.811
# Calculated volume in Å³ per atom: 17.62
# Energy above the lowest structure with this stoichiometry in meV per atom: 0
data_LiMg2Ru2
_chemical_formula_sum 'Li2 Mg4 Ru4'
_space_group_name_H-M_alt 'P 4/m b m'
_space_group_IT_number 127
_space_group_name_Hall '-P 4 2ab'
_cell_length_a 7.811
_cell_length_b 7.811
_cell_length_c 2.888
_cell_angle_alpha 90.00
_cell_angle_beta 90.00
_cell_angle_gamma 90.00
loop_
_atom_site_label
_atom_site_fract_x
_atom_site_fract_y
_atom_site_fract_z
_atom_site_occupancy
Li1 0.000 0.000 0.000 1
Mg1 0.184 0.316 0.500 1
Ru1 0.108 0.608 0.000 1

***

# LiMgRu2, optimized geometry, DFT PBE
# ΔE_f in eV per formula unit: 0.8
# Electronic total energy in eV for the cell shown: -21.3
# D(E_F) in states/eV per atom: 1.017
# Calculated volume in Å³ per atom: 14.56
data_LiMgRu2
_chemical_formula_sum 'Li1 Mg1 Ru2'
_space_group_name_H-M_alt 'P 4/m m m'
_space_group_IT_number 123
_space_group_name_Hall '-P 4 2'
_cell_length_a 3.658
_cell_length_b 3.658
_cell_length_c 4.352
_cell_angle_alpha 90.00
_cell_angle_beta 90.00
_cell_angle_gamma 90.00
loop_
_atom_site_label
_atom_site_fract_x
_atom_site_fract_y
_atom_site_fract_z
_atom_site_occupancy
Li1 0.000 0.000 0.000 1
Mg1 0.500 0.500 0.000 1
Ru1 0.000 0.500 0.500 1

***

# LiMgRu2, optimized geometry, DFT PBE
# ΔE_f in eV per formula unit: 0.7
# Electronic total energy in eV for the cell shown: -64.2
# D(E_F) in states/eV per atom: 0.599
# Calculated volume in Å³ per atom: 14.61
data_LiMgRu2
_chemical_formula_sum 'Li3 Mg3 Ru6'
_space_group_name_H-M_alt 'R -3 m'
_space_group_IT_number 166
_space_group_name_Hall '-R 3 2"'
_cell_length_a 2.7417
_cell_length_b 2.7417
_cell_length_c 26.9300
_cell_angle_alpha 90.00
_cell_angle_beta 90.00
_cell_angle_gamma 120.00
loop_
_atom_site_label
_atom_site_fract_x
_atom_site_fract_y
_atom_site_fract_z
_atom_site_occupancy
Li1 0.0000 0.0000 0.0000 1
Mg1 0.0000 0.0000 0.5000 1
Ru1 0.0000 0.0000 0.2499 1

***

# LiMgRu3, optimized geometry, DFT PBE
# ΔE_f in eV per formula unit: 4.7
# Electronic total energy in eV for the cell shown: -26.6
# D(E_F) in states/eV per atom: 1.300
# Calculated volume in Å³ per atom: 14.62
# Energy above the lowest structure with this stoichiometry in meV per atom: 0
data_LiMgRu3
_chemical_formula_sum 'Li1 Mg1 Ru3'
_space_group_name_H-M_alt 'P m -3 m'
_space_group_IT_number 221
_space_group_name_Hall '-P 4 2 3'
_cell_length_a 4.181
_cell_length_b 4.181
_cell_length_c 4.181
_cell_angle_alpha 90.00
_cell_angle_beta 90.00
_cell_angle_gamma 90.00
loop_
_atom_site_label
_atom_site_fract_x
_atom_site_fract_y
_atom_site_fract_z
_atom_site_occupancy
Li1 0.000 0.000 0.000 1
Mg1 0.500 0.500 0.500 1
Ru1 0.000 0.000 0.500 1

***

# LiMgRu2, optimized geometry, DFT PBE
# ΔE_f in eV per formula unit: 0.8
# Electronic total energy in eV for the cell shown: -42.5
# D(E_F) in states/eV per atom: 1.113
# Calculated volume in Å³ per atom: 14.55
data_LiMgRu2
_chemical_formula_sum 'Li2 Mg2 Ru4'
_space_group_name_H-M_alt 'I 4/m m m'
_space_group_IT_number 139
_space_group_name_Hall '-I 4 2'
_cell_length_a 3.654
_cell_length_b 3.654
_cell_length_c 8.719
_cell_angle_alpha 90.00
_cell_angle_beta 90.00
_cell_angle_gamma 90.00
loop_
_atom_site_label
_atom_site_fract_x
_atom_site_fract_y
_atom_site_fract_z
_atom_site_occupancy
Li1 0.000 0.000 0.000 1
Mg1 0.000 0.000 0.500 1
Ru1 0.000 0.500 0.250 1

***

# LiMgRu2, optimized geometry, DFT PBE
# ΔE_f in eV per formula unit: 0.8
# Electronic total energy in eV for the cell shown: -42.5
# D(E_F) in states/eV per atom: 0.950
# Calculated volume in Å³ per atom: 14.46
data_LiMgRu2
_chemical_formula_sum 'Li2 Mg2 Ru4'
_space_group_name_H-M_alt 'I m m 2'
_space_group_IT_number 44
_cell_length_a 2.932
_cell_length_b 4.487
_cell_length_c 8.791
_cell_angle_alpha 90.00
_cell_angle_beta 90.00
_cell_angle_gamma 90.00
loop_
_space_group_symop_operation_xyz
'x,y,z'
'-x,-y,z'
'-x,y,z'
'x,-y,z'
'x+1/2,y+1/2,z+1/2'
'-x+1/2,-y+1/2,z+1/2'
'-x+1/2,y+1/2,z+1/2'
'x+1/2,-y+1/2,z+1/2'
loop_
_atom_site_label
_atom_site_fract_x
_atom_site_fract_y
_atom_site_fract_z
_atom_site_occupancy
Li1 0.000 0.000 0.000 1
Mg1 0.000 0.500 0.759 1
Ru1 0.000 0.000 0.520 1
Ru2 0.000 0.500 0.254 1

***

# LiMg2RuS, optimized geometry, DFT PBE
# Electronic total energy in eV for the cell shown: -17.8
# Energy relative to the elements, uncorrected in eV per formula unit: 0.7
# D(E_F) in states/eV per atom: 0.402
# Calculated volume in Å³ per atom: 19.55
data_LiMg2RuS
_chemical_formula_sum 'Li1 Mg2 Ru1 S1'
_space_group_name_H-M_alt 'P 4/m m m'
_space_group_IT_number 123
_space_group_name_Hall '-P 4 2'
_cell_length_a 4.793
_cell_length_b 4.793
_cell_length_c 4.256
_cell_angle_alpha 90.00
_cell_angle_beta 90.00
_cell_angle_gamma 90.00
loop_
_atom_site_label
_atom_site_fract_x
_atom_site_fract_y
_atom_site_fract_z
_atom_site_occupancy
Li1 0.000 0.000 0.000 1
Mg1 0.000 0.500 0.500 1
Ru1 0.500 0.500 0.000 1
S1 0.000 0.000 0.500 1